CdSnI4: optimized geometry, PBE-GGA.

Structure (extended XYZ):
```
6
Lattice="7.4869 0.0000 0.0000 0.0000 4.4225 0.0000 -0.1334 0.0000 7.7909" Properties=species:S:1:pos:R:3 pbc="T T T"
Cd 0.0000 0.0000 0.0000
Sn -0.0667 2.2113 3.8955
I 1.6220 2.2113 6.6272
I 1.7751 0.0000 2.4888
I 5.5784 0.0000 5.3021
I 5.7315 2.2113 1.1638
```

Calculated values
E   -2.384 eV/atom
Size of the total moment   0.0 μB/cell
SG   P2/m

=====

SiAsP2: optimized geometry, PBE-GGA.

Structure (extended XYZ):
```
12
Lattice="3.5577 0.0000 0.0000 -1.7788 3.0810 0.0000 0.0000 0.0000 17.9155" Properties=species:S:1:pos:R:3 pbc="T T T"
Si 0.0000 0.0000 0.0000
Si 0.0000 2.0540 11.9437
Si 1.7788 1.0270 5.9718
As 0.0000 0.0000 8.9578
As 0.0000 2.0540 2.9859
As 1.7788 1.0270 14.9296
P 0.0000 0.0000 4.5967
P 0.0000 0.0000 13.3188
P 0.0000 2.0540 7.3470
P 0.0000 2.0540 16.5404
P 1.7788 1.0270 1.3751
P 1.7788 1.0270 10.5686
```

Calculated values
E   -5.122 eV/atom
Size of the total moment   0.0 μB/cell
Relative energy among the computed polymorphs   0 meV/atom
SG   R-3m

=====

RbSnSe3: optimized geometry, PBE-GGA.

Structure (extended XYZ):
```
5
Lattice="5.6683 0.0000 0.0000 0.0000 5.6683 0.0000 0.0000 0.0000 5.6683" Properties=species:S:1:pos:R:3 pbc="T T T"
Rb 0.0000 0.0000 0.0000
Sn 2.8341 2.8341 2.8341
Se 0.0000 0.0000 2.8341
Se 0.0000 2.8341 0.0000
Se 2.8341 0.0000 0.0000
```

Calculated values
E   -2.234 eV/atom
Size of the total moment   0.0 μB/cell
SG   Pm-3m